[1]
Below is crystalline CaAl2Cu2 at its relaxed geometry, with properties calculated at the PBE-GGA level.

## Properties
* formation energy from the elements: -6.456 kcal/mol of atoms

Cell lengths 4.091, 4.091, 10.805 Å; angles 90.00, 90.00, 90.00 degrees
Space group I4/mmm (No. 139)
Unique sites:
Ca 0.000 0.000 0.000 (multiplicity 2)
Al 0.000 0.500 0.250 (multiplicity 4)
Cu 0.000 0.000 0.384 (multiplicity 4)



[2]
Below is crystalline CaAl3Cu at its relaxed geometry, with properties calculated at the PBE-GGA level.

## Properties
* formation energy from the elements: -3.293 kcal/mol of atoms

Cell lengths 6.3590, 6.3590, 5.4355 Å; angles 90.00, 90.00, 120.00 degrees
Space group P6_3/mmc (No. 194)
Unique sites:
Ca 0.3333 0.6667 0.2500 (multiplicity 2)
Al 0.1876 0.3751 0.7500 (multiplicity 6)
Cu 0.0000 0.0000 0.0000 (multiplicity 2)



[3]
Below is crystalline Ca2Al2Cu at its relaxed geometry, with properties calculated at the PBE-GGA level.

## Properties
* energy relative to the lowest polymorph listed for this composition: 0.000 eV per atom
* formation energy from the elements: -5.357 kcal/mol of atoms

Cell lengths 4.396, 5.425, 9.778 Å; angles 90.00, 90.00, 90.00 degrees
Space group Immm (No. 71)
Unique sites:
Ca 0.000 0.000 0.194 (multiplicity 4)
Al 0.000 0.244 0.500 (multiplicity 4)
Cu 0.000 0.500 0.000 (multiplicity 2)



[4]
Below is crystalline CaAl10Cu2 at its relaxed geometry, with properties calculated at the PBE-GGA level.

## Properties
* formation energy from the elements: -3.115 kcal/mol of atoms

Cell lengths 5.246, 12.443, 13.531 Å; angles 90.00, 90.00, 90.00 degrees
Space group Fmmm (No. 69)
Unique sites:
Ca 0.000 0.000 0.000 (multiplicity 4)
Al 0.000 0.109 0.381 (multiplicity 16)
Al 0.000 0.172 0.179 (multiplicity 16)
Al 0.250 0.250 0.000 (multiplicity 8)
Cu 0.250 0.000 0.250 (multiplicity 8)



[5]
Below is crystalline CaAl5Cu3 at its relaxed geometry, with properties calculated at the PBE-GGA level.

## Properties
* formation energy from the elements: -5.269 kcal/mol of atoms

Cell lengths 3.927, 12.646, 12.726 Å; angles 90.00, 90.00, 90.00 degrees
Space group Cmcm (No. 63)
Unique sites:
Ca 0.000 0.153 0.250 (multiplicity 4)
Al 0.000 0.000 0.000 (multiplicity 4)
Al 0.000 0.200 0.565 (multiplicity 8)
Al 0.000 0.440 0.149 (multiplicity 8)
Cu 0.000 0.137 0.750 (multiplicity 4)
Cu 0.000 0.390 0.545 (multiplicity 8)



[6]
Below is crystalline CaAl6Cu4 at its relaxed geometry, with properties calculated at the PBE-GGA level.

## Properties
* energy relative to the lowest polymorph listed for this composition: 0.000 eV per atom
* formation energy from the elements: -6.188 kcal/mol of atoms

Cell lengths 7.0948, 7.0948, 4.0237 Å; angles 90.00, 90.00, 120.00 degrees
Space group P-6m2 (No. 187)
Unique sites:
Ca 0.0000 0.0000 0.0000 (multiplicity 1)
Al 0.2012 0.4023 0.5000 (multiplicity 3)
Al 0.5335 0.0671 0.0000 (multiplicity 3)
Cu 0.3333 0.6667 0.0000 (multiplicity 1)
Cu 0.4168 0.2084 0.5000 (multiplicity 3)